PBE CePmTe2Cl, relaxed; energy = -26.88 eV per formula unit; energy relative to the elements, uncorrected = -1.613 eV per atom
1.0
4.4344 0.0000 0.0000
0.0000 4.4344 0.0000
0.0000 0.0000 15.1894
Ce Pm Te Cl
2 2 4 2
Direct
0.2500 0.2500 0.1324
0.7500 0.7500 0.8676
0.2500 0.2500 0.5882
0.7500 0.7500 0.4118
0.2500 0.2500 0.3774
0.2500 0.2500 0.7990
0.7500 0.7500 0.2010
0.7500 0.7500 0.6226
0.2500 0.7500 0.0000
0.7500 0.2500 0.0000